(1)
Below is a geometry-optimized BMo3Pd structure, with properties calculated at the PBE level.

a = 4.1803 Å, b = 4.1803 Å, c = 4.1803 Å
α = 90.00°, β = 90.00°, γ = 90.00°
Element x y z (fractional)
Mo (0.0000, 0.5000, 0.0000)
Mo (0.0000, 0.0000, 0.5000)
Mo (0.5000, 0.0000, 0.0000)
B (0.0000, 0.0000, 0.0000)
Pd (0.5000, 0.5000, 0.5000)

Calculated values
polymorph energy (0 for the lowest one) = 0 meV/atom
space-group type = Pm-3m
DOS at the Fermi energy = 3.39 states/eV/cell
formation enthalpy at 0 K = 0.839 eV per formula unit

=====

(2)
Below is a geometry-optimized BMo3Pd structure, with properties calculated at the PBE level.

a = 4.6929 Å, b = 4.6929 Å, c = 4.6929 Å
α = 90.00°, β = 90.00°, γ = 90.00°
Element x y z (fractional)
Mo (0.0000, 0.5000, 0.0000)
Mo (0.0000, 0.0000, 0.5000)
Mo (0.5000, 0.0000, 0.0000)
B (0.5000, 0.5000, 0.5000)
Pd (0.0000, 0.0000, 0.0000)

Calculated values
polymorph energy (0 for the lowest one) = 2614 meV/atom
space-group type = Pm-3m
DOS at the Fermi energy = 7.38 states/eV/cell
formation enthalpy at 0 K = 13.910 eV per formula unit

=====

(3)
Below is a geometry-optimized BMoPdPt2 structure, with properties calculated at the PBE level.

a = 4.9254 Å, b = 4.6257 Å, c = 4.9254 Å
α = 90.00°, β = 90.00°, γ = 90.00°
Element x y z (fractional)
Mo (0.0000, 0.5000, 0.0000)
B (0.5000, 0.5000, 0.5000)
Pd (0.0000, 0.0000, 0.0000)
Pt (0.0000, 0.0000, 0.5000)
Pt (0.5000, 0.0000, 0.0000)

Calculated values
space-group type = P4/mmm
DOS at the Fermi energy = 5.72 states/eV/cell
formation enthalpy at 0 K = 11.531 eV per formula unit

=====

(4)
Below is a geometry-optimized TaBMoPd2 structure, with properties calculated at the PBE level.

a = 4.0812 Å, b = 4.4518 Å, c = 4.0812 Å
α = 90.00°, β = 90.00°, γ = 90.00°
Element x y z (fractional)
Mo (0.5000, 0.5000, 0.5000)
B (0.0000, 0.0000, 0.0000)
Pd (0.0000, 0.0000, 0.5000)
Pd (0.5000, 0.0000, 0.0000)
Ta (0.0000, 0.5000, 0.0000)

Calculated values
space-group type = P4/mmm
DOS at the Fermi energy = 3.87 states/eV/cell
formation enthalpy at 0 K = 0.706 eV per formula unit

=====

(5)
Below is a geometry-optimized BTe2MoPd structure, with properties calculated at the PBE level.

a = 5.4042 Å, b = 3.9286 Å, c = 5.4042 Å
α = 90.00°, β = 90.00°, γ = 90.00°
Element x y z (fractional)
Mo (0.5000, 0.5000, 0.5000)
Te (0.0000, 0.0000, 0.5000)
Te (0.5000, 0.0000, 0.0000)
B (0.0000, 0.5000, 0.0000)
Pd (0.0000, 0.0000, 0.0000)

Calculated values
space-group type = P4/mmm
uncorrected formation energy = 932 meV per atom
DOS at the Fermi energy = 2.26 states/eV/cell

=====

(6)
Below is a geometry-optimized BTeMoPd2 structure, with properties calculated at the PBE level.

a = 4.9447 Å, b = 4.1080 Å, c = 4.9447 Å
α = 90.00°, β = 90.00°, γ = 90.00°
Element x y z (fractional)
Mo (0.0000, 0.0000, 0.0000)
Te (0.5000, 0.5000, 0.5000)
B (0.0000, 0.5000, 0.0000)
Pd (0.0000, 0.0000, 0.5000)
Pd (0.5000, 0.0000, 0.0000)

Calculated values
space-group type = P4/mmm
uncorrected formation energy = 1144 meV per atom
DOS at the Fermi energy = 5.68 states/eV/cell

=====

(7)
Below is a geometry-optimized Ti2BMoPd structure, with properties calculated at the PBE level.

a = 4.6562 Å, b = 4.1404 Å, c = 4.6562 Å
α = 90.00°, β = 90.00°, γ = 90.00°
Element x y z (fractional)
Mo (0.0000, 0.0000, 0.0000)
B (0.0000, 0.5000, 0.0000)
Pd (0.5000, 0.5000, 0.5000)
Ti (0.0000, 0.0000, 0.5000)
Ti (0.5000, 0.0000, 0.0000)

Calculated values
space-group type = P4/mmm
DOS at the Fermi energy = 4.49 states/eV/cell
formation enthalpy at 0 K = 4.364 eV per formula unit

=====

(8)
Below is a geometry-optimized PrBMo structure, with properties calculated at the PBE level.

a = 3.6604 Å, b = 3.6604 Å, c = 9.2016 Å
α = 90.00°, β = 90.00°, γ = 90.00°
Element x y z (fractional)
B (0.5000, 0.0000, 0.6635)
B (0.0000, 0.5000, 0.3365)
Pr (0.5000, 0.0000, 0.1969)
Pr (0.0000, 0.5000, 0.8031)
Mo (0.5000, 0.5000, 0.5000)
Mo (0.0000, 0.0000, 0.5000)

Calculated values
space-group type = P4/nmm
DOS at the Fermi energy = 4.56 states/eV/cell
formation enthalpy at 0 K = -0.271 eV per formula unit

=====

(9)
Below is a geometry-optimized PrB6Mo2 structure, with properties calculated at the PBE level.

a = 3.2013 Å, b = 5.7769 Å, c = 5.7769 Å
α = 74.96°, β = 73.91°, γ = 73.91°
Element x y z (fractional)
Pr (0.0000, 0.0000, 0.0000)
B (0.6949, 0.0677, 0.5425)
B (0.3051, 0.9323, 0.4575)
B (0.3051, 0.4575, 0.9323)
B (0.5000, 0.6559, 0.3441)
B (0.5000, 0.3441, 0.6559)
B (0.6949, 0.5425, 0.0677)
Mo (0.8444, 0.6556, 0.6556)
Mo (0.1556, 0.3444, 0.3444)

Calculated values
space-group type = Immm
DOS at the Fermi energy = 2.16 states/eV/cell
formation enthalpy at 0 K = -4.143 eV per formula unit

=====

(10)
Below is a geometry-optimized B2MoPt2 structure, with properties calculated at the PBE level.

a = 3.3922 Å, b = 3.3922 Å, c = 6.0448 Å
α = 73.70°, β = 73.70°, γ = 90.00°
Element x y z (fractional)
Mo (0.0000, 0.0000, 0.0000)
B (0.7500, 0.2500, 0.5000)
B (0.2500, 0.7500, 0.5000)
Pt (0.3725, 0.3725, 0.2549)
Pt (0.6275, 0.6275, 0.7451)

Calculated values
space-group type = I4/mmm
DOS at the Fermi energy = 2.08 states/eV/cell
formation enthalpy at 0 K = 1.458 eV per formula unit

=====

(11)
Below is a geometry-optimized B2Mo2Pt structure, with properties calculated at the PBE level.

a = 4.4563 Å, b = 4.4563 Å, c = 4.4421 Å
α = 59.89°, β = 59.89°, γ = 90.00°
Element x y z (fractional)
Mo (0.7500, 0.2500, 0.5000)
Mo (0.2500, 0.7500, 0.5000)
B (0.3576, 0.3576, 0.2848)
B (0.6424, 0.6424, 0.7152)
Pt (0.0000, 0.0000, 0.0000)

Calculated values
space-group type = I4/mmm
DOS at the Fermi energy = 3.38 states/eV/cell
formation enthalpy at 0 K = 0.984 eV per formula unit

=====

(12)
Below is a geometry-optimized BMoPt3 structure, with properties calculated at the PBE level.

a = 4.2316 Å, b = 4.2316 Å, c = 4.2316 Å
α = 90.00°, β = 90.00°, γ = 90.00°
Element x y z (fractional)
Mo (0.5000, 0.5000, 0.5000)
B (0.0000, 0.0000, 0.0000)
Pt (0.0000, 0.5000, 0.0000)
Pt (0.0000, 0.0000, 0.5000)
Pt (0.5000, 0.0000, 0.0000)

Calculated values
polymorph energy (0 for the lowest one) = 0 meV/atom
space-group type = Pm-3m
DOS at the Fermi energy = 6.08 states/eV/cell
formation enthalpy at 0 K = 1.193 eV per formula unit